Record 1
This record from Alexandria describes a relaxed structure of TaPCl2. The functional is PBE.

```
TaPCl2
1.0
3.317 0.000 0.000
0.000 3.317 0.000
0.000 0.000 8.077
Ta P Cl
1 1 2
Cartesian
0.000 0.000 0.000
1.659 1.659 7.086
0.000 0.000 5.511
1.659 1.659 1.892
```

Uncorrected formation energy ... -247 meV per atom
E above lowest polymorph ... 155 kJ/mol of formula units
E_tot ... -5.49 eV per atom
Magnetization ... 0.0000 μB per atom

---

Record 2
This record from Alexandria describes a relaxed structure of Cu5NiPt8. The functional is PBE.

```
Cu5NiPt8
1.0
-3.734 3.734 3.744
3.734 -3.734 3.744
3.734 3.734 -3.744
Cu Ni Pt
5 1 8
Cartesian
0.000 0.000 0.000
2.920 2.274 -0.679
1.460 -0.814 4.423
0.814 1.460 3.065
2.274 4.548 0.679
3.734 0.000 1.872
1.416 -0.814 1.887
2.318 4.547 -1.858
0.487 2.506 0.618
2.920 2.318 1.858
-0.487 4.961 0.618
-1.228 3.247 3.126
0.814 1.416 5.602
1.228 4.220 3.126
```

Energy of formation ... 0.1246 eV per atom
E_tot ... -5.20 eV per atom
Magnetization ... 0.1153 μB per atom

---

Record 3
This record from Alexandria describes a relaxed structure of KH3Au. The functional is PBE.

```
KH3Au
1.0
5.207 -4.992 0.000
5.207 4.992 0.000
0.000 0.000 5.703
K H Au
4 12 4
Cartesian
2.604 1.417 1.426
2.604 -1.417 4.277
7.811 1.417 1.426
7.811 -1.417 4.277
1.648 0.998 4.701
5.207 2.783 2.187
3.559 0.998 3.854
1.648 -0.998 1.002
5.207 2.209 5.038
3.559 -0.998 1.849
6.855 0.998 3.854
5.207 -2.209 0.665
8.767 0.998 4.701
6.855 -0.998 1.849
5.207 -2.783 3.516
8.767 -0.998 1.002
5.207 3.958 0.958
5.207 1.034 3.809
5.207 -1.034 1.893
5.207 -3.958 4.745
```

E above lowest polymorph ... 28 kJ/mol of formula units
E_tot ... -3.00 eV per atom
Magnetization ... 0.0000 μB per atom